Entry 1:
Density functional theory data (PBE) for an optimized crystal structure of Rb2YTiO4.

* crystal system: orthorhombic

Lattice parameters (Å, degrees): 5.9466 7.2871 12.0516 84.22 75.72 65.92
Sites, in units of the cell vectors:
1 O 0.3312 0.8418 0.0742
2 O 0.5946 0.1582 0.0742
3 Ti 0.5000 0.0000 0.0000
4 O 0.8270 0.8418 0.9258
5 Y 0.7500 0.5000 0.5000
6 Ti 0.2500 0.5000 0.5000
7 Rb 0.5671 0.5000 0.8658
8 Rb 0.8171 0.0000 0.3658
9 O 0.4188 0.6582 0.4258
10 O 0.1554 0.3418 0.4258
11 O 0.2472 0.1582 0.9258
12 Y 0.0000 0.0000 0.0000
13 Rb 0.1829 0.0000 0.6342
14 Rb 0.9329 0.5000 0.1342
15 O 0.9230 0.6582 0.5742
16 O 0.5028 0.3418 0.5742


Entry 2:
Density functional theory data (PBE) for an optimized crystal structure of RbTi2ZnO6.

* crystal system: monoclinic

Lattice parameters (Å, degrees): 6.3409 7.6818 7.6818 104.46 76.98 76.98
Sites, in units of the cell vectors:
1 Ti 0.3443 0.7164 0.5642
2 Rb 0.7500 0.1044 0.8956
3 Ti 0.1557 0.4358 0.2836
4 O 0.5612 0.5850 0.6543
5 O 0.0294 0.6407 0.2256
6 O 0.9388 0.3457 0.4150
7 O 0.0612 0.6543 0.5850
8 O 0.9706 0.3593 0.7744
9 Zn 0.2500 0.2104 0.7896
10 O 0.2424 0.9470 0.7370
11 O 0.7576 0.0530 0.2630
12 Ti 0.8443 0.5642 0.7164
13 O 0.5294 0.2256 0.6407
14 Rb 0.2500 0.8956 0.1044
15 Zn 0.7500 0.7896 0.2104
16 O 0.7424 0.7370 0.9470
17 Ti 0.6557 0.2836 0.4358
18 O 0.2576 0.2630 0.0530
19 O 0.4388 0.4150 0.3457
20 O 0.4706 0.7744 0.3593


Entry 3:
Density functional theory data (PBE) for an optimized crystal structure of RbTi2Zn2O7.

* crystal system: orthorhombic

Lattice parameters (Å, degrees): 3.8120 5.3255 8.7397 107.74 102.60 90.00
Sites, in units of the cell vectors:
1 O 0.7290 0.6602 0.4580
2 Ti 0.6145 0.6930 0.2290
3 O 0.5000 0.5052 0.0000
4 O 0.8755 0.3727 0.7510
5 O 0.3745 0.7827 0.7490
6 O 0.2710 0.2021 0.5420
7 Ti 0.3855 0.4640 0.7710
8 Zn 0.7388 0.2853 0.4777
9 O 0.1245 0.6217 0.2490
10 Zn 0.2612 0.8076 0.5223
11 Rb 0.0000 0.0714 0.0000
12 O 0.6255 0.0337 0.2510


Entry 4:
Density functional theory data (PBE) for an optimized crystal structure of Rb2ZrTiO5.

* crystal system: orthorhombic

Lattice parameters (Å, degrees): 3.3875 6.6540 14.0029 90.00 90.00 104.75
Sites, in units of the cell vectors:
1 Ti 0.4823 0.9646 0.4450
2 Ti 0.5177 0.0354 0.9450
3 O 0.4944 0.9888 0.8223
4 O 0.3738 0.7475 0.9926
5 Rb 0.1772 0.3543 0.2953
6 Rb 0.0676 0.1352 0.6753
7 Rb 0.9324 0.8648 0.1753
8 O 0.0463 0.0926 0.0081
9 O 0.5056 0.0112 0.3223
10 O 0.3198 0.6397 0.4354
11 Zr 0.2211 0.4422 0.0268
12 Rb 0.8228 0.6457 0.7953
13 O 0.6262 0.2525 0.4926
14 O 0.9537 0.9074 0.5081
15 O 0.6802 0.3603 0.9354
16 Zr 0.7789 0.5578 0.5268
17 O 0.2782 0.5564 0.6231
18 O 0.7218 0.4436 0.1231


Entry 5:
Density functional theory data (PBE) for an optimized crystal structure of RbZr2Ti2O7.

* crystal system: tetragonal

Lattice parameters (Å, degrees): 4.2205 4.2208 9.3263 103.08 103.08 90.00
Sites, in units of the cell vectors:
1 Ti 0.7500 0.2500 0.5000
2 O 0.2535 0.2535 0.5070
3 O 0.8683 0.3683 0.7366
4 O 0.5000 0.4999 0.0000
5 Zr 0.6163 0.6163 0.2327
6 Zr 0.3837 0.3836 0.7673
7 O 0.7465 0.7465 0.4929
8 Rb 0.0000 0.0000 0.0000
9 O 0.6317 0.1316 0.2633
10 O 0.3683 0.8683 0.7367
11 Ti 0.2500 0.7500 0.5000
12 O 0.1317 0.6317 0.2634


Entry 6:
Density functional theory data (PBE) for an optimized crystal structure of Rb3ZrTi2O8.

* crystal system: trigonal

Lattice parameters (Å, degrees): 6.0399 6.0399 8.0563 90.00 90.00 120.00
Sites, in units of the cell vectors:
1 Rb 0.0000 0.0000 0.0000
2 Zr 0.0000 0.0000 0.5000
3 O 0.6685 0.8342 0.3468
4 O 0.6667 0.3333 0.9476
5 O 0.3333 0.6667 0.0524
6 O 0.8342 0.6685 0.6532
7 Rb 0.3333 0.6667 0.7122
8 O 0.1658 0.3315 0.3468
9 Ti 0.6667 0.3333 0.7280
10 O 0.8342 0.1658 0.6532
11 Rb 0.6667 0.3333 0.2878
12 O 0.3315 0.1658 0.6532
13 O 0.1658 0.8342 0.3468
14 Ti 0.3333 0.6667 0.2720


Entry 7:
Density functional theory data (PBE) for an optimized crystal structure of RbTl2O.

* crystal system: orthorhombic
* E above lowest polymorph: 0.0 meV/atom

Lattice parameters (Å, degrees): 4.4146 4.4146 11.8679 90.00 90.00 90.00
Sites, in units of the cell vectors:
1 Tl 0.2499 0.7501 0.9411
2 Tl 0.7501 0.2499 0.0589
3 O 0.2492 0.7508 0.7500
4 Rb 0.7501 0.2499 0.7500
5 Tl 0.2499 0.7501 0.5589
6 Rb 0.2499 0.7501 0.2500
7 O 0.7508 0.2492 0.2500
8 Tl 0.7501 0.2499 0.4411


Entry 8:
Density functional theory data (PBE) for an optimized crystal structure of Rb3Tl2O4.

* crystal system: monoclinic

Lattice parameters (Å, degrees): 6.6316 8.1414 8.1414 83.93 87.96 87.96
Sites, in units of the cell vectors:
1 O 0.5066 0.1087 0.6506
2 Tl 0.4240 0.1601 0.3756
3 O 0.5915 0.3756 0.2457
4 O 0.4085 0.6244 0.7543
5 O 0.9085 0.7543 0.6244
6 O 0.0915 0.2457 0.3756
7 Tl 0.5760 0.8399 0.6244
8 Rb 0.0590 0.0709 0.7087
9 Rb 0.2500 0.5819 0.4181
10 Rb 0.7500 0.4181 0.5819
11 Tl 0.9240 0.3756 0.1601
12 Rb 0.4410 0.2913 0.9291
13 Tl 0.0760 0.6244 0.8399
14 Rb 0.5590 0.7087 0.0709
15 Rb 0.9410 0.9291 0.2913
16 O 0.9934 0.3494 0.8913
17 O 0.4934 0.8913 0.3494
18 O 0.0066 0.6506 0.1087


Entry 9:
Density functional theory data (PBE) for an optimized crystal structure of Rb8Tl3O8.

* crystal system: monoclinic

Lattice parameters (Å, degrees): 5.8245 8.9111 10.9114 105.95 105.48 90.00
Sites, in units of the cell vectors:
1 Tl 0.7982 0.8186 0.5965
2 Rb 0.8357 0.2725 0.6714
3 O 0.1136 0.9947 0.2272
4 Rb 0.9599 0.7774 0.9199
5 Tl 0.5000 0.5000 0.0000
6 Tl 0.2018 0.1814 0.4035
7 O 0.8864 0.0053 0.7728
8 O 0.4739 0.7169 0.9479
9 Rb 0.6756 0.4496 0.3513
10 Rb 0.0401 0.2226 0.0801
11 O 0.6953 0.7820 0.3905
12 Rb 0.4013 0.0540 0.8026
13 O 0.1777 0.4017 0.3554
14 O 0.3047 0.2180 0.6095
15 Rb 0.1643 0.7275 0.3286
16 O 0.8223 0.5983 0.6446
17 Rb 0.5987 0.9460 0.1974
18 O 0.5261 0.2831 0.0521
19 Rb 0.3244 0.5504 0.6487


Entry 10:
Density functional theory data (PBE) for an optimized crystal structure of Rb2TlO.

* crystal system: monoclinic
* E above lowest polymorph: 0.0 meV/atom

Lattice parameters (Å, degrees): 5.7376 8.7670 12.8081 88.70 90.00 90.00
Sites, in units of the cell vectors:
1 Rb 0.2499 0.6122 0.0335
2 O 0.2499 0.8122 0.4710
3 Tl 0.7500 0.2907 0.6834
4 Rb 0.2499 0.6159 0.6304
5 Tl 0.7500 0.7907 0.1834
6 Rb 0.7499 0.8841 0.8696
7 Tl 0.2500 0.7093 0.3166
8 Rb 0.2501 0.1122 0.5335
9 Rb 0.7501 0.3878 0.9665
10 Rb 0.7501 0.3841 0.3696
11 Rb 0.2501 0.1159 0.1304
12 O 0.2501 0.3122 0.9710
13 O 0.7501 0.1878 0.5290
14 Rb 0.7499 0.8878 0.4665
15 Tl 0.2500 0.2093 0.8166
16 O 0.7499 0.6878 0.0290


Entry 11:
Density functional theory data (PBE) for an optimized crystal structure of RbTl2O3.

* crystal system: trigonal
* E above lowest polymorph: 180.6 meV/atom

Lattice parameters (Å, degrees): 6.9008 6.9008 8.0408 64.59 64.59 60.00
Sites, in units of the cell vectors:
1 Tl 0.5000 0.5000 0.0000
2 Tl 0.5000 0.0000 0.0000
3 Rb 0.1596 0.1596 0.5213
4 O 0.7237 0.2234 0.8296
5 O 0.2234 0.2234 0.8296
6 Rb 0.8404 0.8404 0.4787
7 Tl 0.0000 0.0000 0.0000
8 O 0.2234 0.7237 0.8296
9 Tl 0.0000 0.5000 0.0000
10 O 0.7766 0.7766 0.1704
11 O 0.2763 0.7766 0.1704
12 O 0.7766 0.2763 0.1704


Entry 12:
Density functional theory data (PBE) for an optimized crystal structure of Rb2Tl3O6.

* crystal system: monoclinic

Lattice parameters (Å, degrees): 6.0254 5.9924 6.9724 81.58 73.07 59.82
Sites, in units of the cell vectors:
1 O 0.7277 0.0000 0.8265
2 O 0.0522 0.3390 0.8225
3 Tl 0.3343 0.3313 0.0000
4 Tl 0.6657 0.6687 0.0000
5 O 0.2723 0.0000 0.1735
6 O 0.9478 0.6610 0.1775
7 Rb 0.1673 0.6654 0.5000
8 O 0.3913 0.6610 0.8225
9 Tl 0.0000 0.0000 0.0000
10 Rb 0.8327 0.3346 0.5000
11 O 0.6087 0.3390 0.1775


Entry 13:
Density functional theory data (PBE) for an optimized crystal structure of Rb5Tl2O6.

* crystal system: monoclinic

Lattice parameters (Å, degrees): 7.0571 7.0571 14.7410 80.98 80.98 66.31
Sites, in units of the cell vectors:
1 O 0.9577 0.9432 0.8786
2 O 0.3797 0.3259 0.6456
3 Rb 0.3127 0.7580 0.9990
4 O 0.9432 0.9577 0.3786
5 O 0.6741 0.6203 0.8544
6 Rb 0.7295 0.9562 0.7159
7 O 0.0423 0.0568 0.1214
8 O 0.0568 0.0423 0.6214
9 O 0.8050 0.5833 0.0746
10 Rb 0.9562 0.7295 0.2159
11 O 0.5833 0.8050 0.5746
12 O 0.3259 0.3797 0.1456
13 Rb 0.3701 0.6299 0.7500
14 O 0.1950 0.4167 0.9254
15 Rb 0.6873 0.2420 0.0010
16 Rb 0.2705 0.0438 0.2841
17 O 0.4167 0.1950 0.4254
18 O 0.6203 0.6741 0.3544
19 Rb 0.6299 0.3701 0.2500
20 Tl 0.8727 0.6883 0.9292
21 Tl 0.6883 0.8727 0.4292
22 Rb 0.2420 0.6873 0.5010
23 Rb 0.0438 0.2705 0.7841
24 Tl 0.1273 0.3117 0.0708
25 Rb 0.7580 0.3127 0.4990
26 Tl 0.3117 0.1273 0.5708


Entry 14:
Density functional theory data (PBE) for an optimized crystal structure of Rb5TlO5.

* crystal system: monoclinic

Lattice parameters (Å, degrees): 5.8109 6.7249 7.7346 102.42 90.00 115.60
Sites, in units of the cell vectors:
1 O 0.8731 0.7463 0.1344
2 Tl 0.0000 0.0000 0.0000
3 O 0.1269 0.2537 0.8656
4 O 0.8393 0.6785 0.6737
5 O 0.5000 0.0000 0.0000
6 Rb 0.6865 0.3730 0.3083
7 Rb 0.6723 0.3447 0.8480
8 Rb 0.0000 0.0000 0.5000
9 O 0.1607 0.3215 0.3263
10 Rb 0.3135 0.6270 0.6917
11 Rb 0.3277 0.6553 0.1520


Entry 15:
Density functional theory data (PBE) for an optimized crystal structure of Rb7TlO3.

* crystal system: trigonal

Lattice parameters (Å, degrees): 7.5626 8.1779 8.1779 120.00 90.00 90.00
Sites, in units of the cell vectors:
1 Rb 0.5749 0.3503 0.1751
2 Rb 0.9934 0.6389 0.8194
3 Tl 0.6118 0.3333 0.6667
4 Rb 0.5749 0.8249 0.1751
5 Rb 0.9934 0.1806 0.8194
6 O 0.7800 0.4882 0.9764
7 Rb 0.9584 0.6667 0.3333
8 O 0.7800 0.0236 0.5118
9 Rb 0.9934 0.1806 0.3611
10 Rb 0.5749 0.8249 0.6497
11 O 0.7800 0.4882 0.5118


Entry 16:
Density functional theory data (PBE) for an optimized crystal structure of Rb7Tl2O2.

* crystal system: monoclinic

Lattice parameters (Å, degrees): 8.2618 7.7286 7.7286 64.59 90.03 90.03
Sites, in units of the cell vectors:
1 Rb 0.7857 0.9997 0.4997
2 O 0.0001 0.6773 0.6773
3 O 0.9999 0.3227 0.3227
4 Rb 0.0000 0.0000 0.0000
5 Tl 0.5000 0.8312 0.1688
6 Rb 0.7993 0.4996 0.4996
7 Rb 0.2007 0.5004 0.5004
8 Rb 0.2143 0.0003 0.5003
9 Tl 0.5000 0.1688 0.8312
10 Rb 0.2143 0.5003 0.0003
11 Rb 0.7857 0.4997 0.9997


Entry 17:
Density functional theory data (PBE) for an optimized crystal structure of Rb3TlO2.

* crystal system: triclinic

Lattice parameters (Å, degrees): 4.3094 6.6169 12.9837 96.05 84.95 87.14
Sites, in units of the cell vectors:
1 Rb 0.8424 0.0082 0.2505
2 Rb 0.7478 0.7161 0.9882
3 O 0.2158 0.7150 0.1171
4 O 0.2892 0.8578 0.3739
5 O 0.7108 0.1422 0.6261
6 Tl 0.6601 0.4266 0.7406
7 Tl 0.3399 0.5734 0.2594
8 Rb 0.2522 0.2839 0.0118
9 O 0.7842 0.2850 0.8829
10 Rb 0.7563 0.7705 0.5011
11 Rb 0.1576 0.9918 0.7495
12 Rb 0.2437 0.2295 0.4989


Entry 18:
Density functional theory data (PBE) for an optimized crystal structure of RbTl2O3.

* crystal system: hexagonal
* E above lowest polymorph: 0.0 meV/atom

Lattice parameters (Å, degrees): 3.5946 3.5946 18.7603 90.00 90.00 120.00
Sites, in units of the cell vectors:
1 O 0.0000 0.0000 0.0000
2 O 0.3333 0.6667 0.1412
3 O 0.6667 0.3333 0.8588
4 O 0.6667 0.3333 0.6412
5 Tl 0.6667 0.3333 0.0792
6 Rb 0.0000 0.0000 0.2500
7 O 0.0000 0.0000 0.5000
8 Rb 0.0000 0.0000 0.7500
9 Tl 0.6667 0.3333 0.4208
10 Tl 0.3333 0.6667 0.5792
11 O 0.3333 0.6667 0.3588
12 Tl 0.3333 0.6667 0.9208


Entry 19:
Density functional theory data (PBE) for an optimized crystal structure of Rb2TlO.

* crystal system: tetragonal
* E above lowest polymorph: 268.7 meV/atom

Lattice parameters (Å, degrees): 10.7476 10.7476 8.0616 48.20 48.20 90.00
Sites, in units of the cell vectors:
1 O 0.2500 0.7500 0.5000
2 Rb 0.2988 0.6250 0.2500
3 Rb 0.4512 0.1250 0.2500
4 O 0.5000 0.5000 0.0000
5 Tl 0.7500 0.2500 0.5000
6 Tl 0.0000 0.0000 0.0000
7 Rb 0.3750 0.5488 0.7500
8 Rb 0.8750 0.7012 0.7500


In order of appearance, volume = 28.878; 16.845; 13.708; 16.957; 13.117; 18.180; 28.911; 24.255; 27.533; 40.257; 24.003; 18.926; 25.401; 24.065; 39.819; 40.524; 30.507; 17.494; 38.836 Å³ per atom.
In order of appearance, M_tot = 0.0; 2.1; 0.0; 0.0; 0.0; 1.1; 0.0; 0.0; 0.9; 0.0; 0.0; 1.1; 2.3; 2.0; 0.0; 0.0; 0.0; 0.0; 2.0 Bohr magnetons per cell.
In order of appearance, formation energy from raw total energies = -2241.5; -2268.1; -2139.1; -2639.0; -2846.7; -2539.4; -620.2; -972.5; -965.6; -701.7; -594.5; -811.4; -967.8; -835.0; -750.5; -497.5; -966.2; -775.1; -433.0 meV/atom.